Entry 1:
A relaxed structure of Er4Co12GeC3. Source: Alexandria via LeMat-Bulk, functional PBE-GGA.

a b c (Å): 6.9415 6.9415 6.9415
angles (deg): 109.47 109.47 109.47
Element x y z (fractional)
Er1 0.0000 0.0000 0.5000
Er2 0.0000 0.5000 0.0000
Er3 0.5000 0.0000 0.0000
Er4 0.5000 0.5000 0.5000
Co1 0.0000 0.2779 0.2779
Co2 0.0000 0.7221 0.7221
Co3 0.2500 0.5000 0.7500
Co4 0.2500 0.7500 0.5000
Co5 0.2779 0.0000 0.2779
Co6 0.2779 0.2779 0.0000
Co7 0.5000 0.2500 0.7500
Co8 0.5000 0.7500 0.2500
Co9 0.7221 0.0000 0.7221
Co10 0.7221 0.7221 0.0000
Co11 0.7500 0.2500 0.5000
Co12 0.7500 0.5000 0.2500
Ge1 0.0000 0.0000 0.0000
C1 0.0000 0.5000 0.5000
C2 0.5000 0.0000 0.5000
C3 0.5000 0.5000 0.0000

## Properties
crystal system	cubic
total magnetization	0.00	μB per cell
space-group type	Im-3m, No. 229
DFT formation energy	-3.53	kcal/mol of atoms

=====

Entry 2:
A relaxed structure of Er2CoHgC. Source: Alexandria via LeMat-Bulk, functional PBE-GGA.

a b c (Å): 5.0017 5.0017 3.6798
angles (deg): 90.00 90.00 90.00
Element x y z (fractional)
Er1 0.0000 0.5000 0.0000
Er2 0.5000 0.0000 0.0000
Co1 0.0000 0.0000 0.5000
Hg1 0.5000 0.5000 0.5000
C1 0.0000 0.0000 0.0000

## Properties
crystal system	tetragonal
total magnetization	0.00	μB per cell
space-group type	P4/mmm, No. 123
DFT formation energy	-9.75	kcal/mol of atoms

=====

Entry 3:
A relaxed structure of La2ErCoC2. Source: Alexandria via LeMat-Bulk, functional PBE-GGA.

a b c (Å): 5.6688 11.3539 3.7428
angles (deg): 90.00 90.00 90.00
Element x y z (fractional)
La1 0.0286 0.2026 0.0000
La2 0.4714 0.7026 0.5000
La3 0.5286 0.2974 0.5000
La4 0.9714 0.7974 0.0000
Er1 0.0000 0.5000 0.5000
Er2 0.5000 0.0000 0.0000
Co1 0.0000 0.0000 0.5000
Co2 0.5000 0.5000 0.0000
C1 0.2364 0.6004 0.0000
C2 0.2636 0.1004 0.5000
C3 0.7364 0.8996 0.5000
C4 0.7636 0.3996 0.0000

## Properties
crystal system	orthorhombic
total magnetization	3.17	μB per cell
space-group type	Pnnm, No. 58
DFT formation energy	-0.56	kcal/mol of atoms

=====

Entry 4:
A relaxed structure of ErCo2PC. Source: Alexandria via LeMat-Bulk, functional PBE-GGA.

a b c (Å): 5.5385 5.5385 6.6017
angles (deg): 90.00 90.00 141.74
Element x y z (fractional)
Er1 0.0436 0.9564 0.7500
Er2 0.9564 0.0436 0.2500
Co1 0.3337 0.6663 0.5548
Co2 0.3337 0.6663 0.9452
Co3 0.6663 0.3337 0.0548
Co4 0.6663 0.3337 0.4452
P1 0.2311 0.7689 0.2500
P2 0.7689 0.2311 0.7500
C1 0.5000 0.5000 0.0000
C2 0.5000 0.5000 0.5000

## Properties
crystal system	orthorhombic
total magnetization	0.00	μB per cell
space-group type	Cmcm, No. 63
DFT formation energy	-15.59	kcal/mol of atoms

=====

Entry 5:
A relaxed structure of Er2CoPdC. Source: Alexandria via LeMat-Bulk, functional PBE-GGA.

a b c (Å): 4.9143 4.9143 3.5915
angles (deg): 90.00 90.00 90.00
Element x y z (fractional)
Er1 0.0000 0.5000 0.0000
Er2 0.5000 0.0000 0.0000
Co1 0.0000 0.0000 0.5000
Pd1 0.5000 0.5000 0.5000
C1 0.0000 0.0000 0.0000

## Properties
crystal system	tetragonal
total magnetization	0.00	μB per cell
space-group type	P4/mmm, No. 123
DFT formation energy	-13.53	kcal/mol of atoms

=====

Entry 6:
A relaxed structure of ErCoSiC. Source: Alexandria via LeMat-Bulk, functional PBE-GGA.

a b c (Å): 3.6542 3.6542 8.4904
angles (deg): 90.00 90.00 90.00
Element x y z (fractional)
Er1 0.2500 0.2500 0.1450
Er2 0.7500 0.7500 0.8550
Co1 0.2500 0.7500 0.5000
Co2 0.7500 0.2500 0.5000
Si1 0.2500 0.2500 0.6542
Si2 0.7500 0.7500 0.3458
C1 0.2500 0.2500 0.8670
C2 0.7500 0.7500 0.1330

## Properties
crystal system	tetragonal
energy relative to the elements, uncorrected	-0.527	eV per atom
total magnetization	0.00	μB per cell
space-group type	P4/nmm, No. 129

=====

Entry 7:
A relaxed structure of ErTh2CoC2. Source: Alexandria via LeMat-Bulk, functional PBE-GGA.

a b c (Å): 5.7168 10.9948 3.6909
angles (deg): 90.00 90.00 90.00
Element x y z (fractional)
Er1 0.0000 0.0000 0.0000
Er2 0.5000 0.5000 0.5000
Th1 0.0240 0.2973 0.5000
Th2 0.4760 0.7973 0.0000
Th3 0.5240 0.2027 0.0000
Th4 0.9760 0.7027 0.5000
Co1 0.0000 0.5000 0.0000
Co2 0.5000 0.0000 0.5000
C1 0.2336 0.8895 0.5000
C2 0.2664 0.3895 0.0000
C3 0.7336 0.6105 0.0000
C4 0.7664 0.1105 0.5000

## Properties
crystal system	orthorhombic
total magnetization	0.00	μB per cell
space-group type	Pnnm, No. 58
DFT formation energy	-4.42	kcal/mol of atoms

=====

Entry 8:
A relaxed structure of ErZn2Co2C. Source: Alexandria via LeMat-Bulk, functional PBE-GGA.

a b c (Å): 7.0972 7.0972 7.0972
angles (deg): 149.59 149.59 43.55
Element x y z (fractional)
Er1 0.0000 0.0000 0.0000
Zn1 0.2500 0.7500 0.5000
Zn2 0.7500 0.2500 0.5000
Co1 0.3708 0.3708 0.0000
Co2 0.6292 0.6292 0.0000
C1 0.5000 0.5000 0.0000

## Properties
crystal system	tetragonal
total magnetization	0.01	μB per cell
space-group type	I4/mmm, No. 139
DFT formation energy	0.52	kcal/mol of atoms